1.
# LaZn9Ir2 PBE optimized geometry
# V: 220 Å³ per cell
# calculated formation energy: -198 kJ/mol of formula units
# offset from the most stable computed form: 157 kJ/mol of formula units
data_LaZn9Ir2
_chemical_formula_sum 'La1 Zn9 Ir2'
_symmetry_space_group_name_H-M 'P 6/m m m'
_symmetry_Int_Tables_number 191
_symmetry_space_group_name_Hall '-P 6 2'
_cell_length_a 8.3098
_cell_length_b 8.3098
_cell_length_c 3.6845
_cell_angle_alpha 90.00
_cell_angle_beta 90.00
_cell_angle_gamma 120.00
loop_
_atom_site_label
_atom_site_type_symbol
_atom_site_fract_x
_atom_site_fract_y
_atom_site_fract_z
_atom_site_occupancy
La1 La 0.0000 0.0000 0.0000 1
Zn1 Zn 0.0000 0.5000 0.0000 1
Zn2 Zn 0.1990 0.3981 0.5000 1
Ir1 Ir 0.3333 0.6667 0.0000 1


2.
# Dy8Ge3Te4Rh PBE optimized geometry
# V: 1313 Å³ per cell
# ΔE_f (raw): -1129 meV per atom
data_Dy8Ge3Te4Rh
_chemical_formula_sum 'Dy24 Ge9 Te12 Rh3'
_symmetry_space_group_name_H-M 'R -3 m'
_symmetry_Int_Tables_number 166
_symmetry_space_group_name_Hall '-R 3 2"'
_cell_length_a 8.4294
_cell_length_b 8.4294
_cell_length_c 21.3316
_cell_angle_alpha 90.00
_cell_angle_beta 90.00
_cell_angle_gamma 120.00
loop_
_atom_site_label
_atom_site_type_symbol
_atom_site_fract_x
_atom_site_fract_y
_atom_site_fract_z
_atom_site_occupancy
Dy1 Dy 0.0000 0.0000 0.2410 1
Dy2 Dy 0.0037 0.5018 0.2383 1
Ge1 Ge 0.0000 0.5000 0.5000 1
Te1 Te 0.0000 0.0000 0.0000 1
Te2 Te 0.0000 0.5000 0.0000 1
Rh1 Rh 0.0000 0.0000 0.5000 1


3.
# SrNd2Au PBE optimized geometry
# V: 472 Å³ per cell
# calculated formation energy: -70 kJ/mol of formula units
# offset from the most stable computed form: 36 kJ/mol of formula units
data_SrNd2Au
_chemical_formula_sum 'Sr3 Nd6 Au3'
_symmetry_space_group_name_H-M 'R 3 m'
_symmetry_Int_Tables_number 160
_symmetry_space_group_name_Hall 'R 3 -2"'
_cell_length_a 4.6438
_cell_length_b 4.6438
_cell_length_c 25.2891
_cell_angle_alpha 90.00
_cell_angle_beta 90.00
_cell_angle_gamma 120.00
loop_
_atom_site_label
_atom_site_type_symbol
_atom_site_fract_x
_atom_site_fract_y
_atom_site_fract_z
_atom_site_occupancy
Sr1 Sr 0.0000 0.0000 0.0000 1
Nd1 Nd 0.0000 0.0000 0.2193 1
Nd2 Nd 0.0000 0.0000 0.4485 1
Au1 Au 0.0000 0.0000 0.8347 1


4.
# ScTe4 PBE optimized geometry
# V: 168 Å³ per cell
# offset from the most stable computed form: 139 kJ/mol of formula units
# ΔE_f (raw): -54 meV per atom
data_ScTe4
_chemical_formula_sum 'Sc1 Te4'
_symmetry_space_group_name_H-M 'P m -3 m'
_symmetry_Int_Tables_number 221
_symmetry_space_group_name_Hall '-P 4 2 3'
_cell_length_a 5.5174
_cell_length_b 5.5174
_cell_length_c 5.5174
_cell_angle_alpha 90.00
_cell_angle_beta 90.00
_cell_angle_gamma 90.00
loop_
_atom_site_label
_atom_site_type_symbol
_atom_site_fract_x
_atom_site_fract_y
_atom_site_fract_z
_atom_site_occupancy
Sc1 Sc 0.0000 0.0000 0.0000 1
Te1 Te 0.0000 0.0000 0.5000 1
Te2 Te 0.5000 0.5000 0.5000 1


Number 1: magnetization 0.0000 μB/atom. Number 2: magnetization 0.0000 μB/atom. Number 3: magnetization 0.0000 μB/atom. Number 4: magnetization 0.0001 μB/atom.